No. 1
First-principles (PBE) data for a relaxed structure of LaEuOs, as listed in Alexandria via LeMat-Bulk.

Summary:
DOS at the Fermi energy = 3.06 states/eV/atom
energy of formation = 0.0808 eV/atom

Geometry as CIF:
```
data_LaEuOs
_chemical_formula_sum 'La2 Eu2 Os2'
_symmetry_space_group_name_H-M 'I 4 m m'
_symmetry_Int_Tables_number 107
_symmetry_space_group_name_Hall 'I 4 -2'
_cell_length_a 3.5246
_cell_length_b 3.5246
_cell_length_c 14.0122
_cell_angle_alpha 90.00
_cell_angle_beta 90.00
_cell_angle_gamma 90.00
loop_
_atom_site_label
_atom_site_type_symbol
_atom_site_fract_x
_atom_site_fract_y
_atom_site_fract_z
La1 La 0.0000 0.0000 0.0000
Eu1 Eu 0.0000 0.0000 0.2442
Os1 Os 0.0000 0.0000 0.6156
```

=====

No. 2
First-principles (PBE) data for a relaxed structure of La2EuP, as listed in Alexandria via LeMat-Bulk.

Summary:
DOS at the Fermi energy = 1.05 states/eV/atom
energy of formation = -0.7147 eV/atom

Geometry as CIF:
```
data_La2EuP
_chemical_formula_sum 'La6 Eu3 P3'
_symmetry_space_group_name_H-M 'R -3 m'
_symmetry_Int_Tables_number 166
_symmetry_space_group_name_Hall '-R 3 2"'
_cell_length_a 4.0724
_cell_length_b 4.0724
_cell_length_c 30.4006
_cell_angle_alpha 90.00
_cell_angle_beta 90.00
_cell_angle_gamma 120.00
loop_
_atom_site_label
_atom_site_type_symbol
_atom_site_fract_x
_atom_site_fract_y
_atom_site_fract_z
La1 La 0.0000 0.0000 0.2226
Eu1 Eu 0.0000 0.0000 0.0000
P1 P 0.0000 0.0000 0.5000
```

=====

No. 3
First-principles (PBE) data for a relaxed structure of LaEuP, as listed in Alexandria via LeMat-Bulk.

Summary:
DOS at the Fermi energy = 3.28 states/eV/atom
energy of formation = -0.9069 eV/atom
energy above the most stable polymorph in this dataset = 0 meV/atom

Geometry as CIF:
```
data_LaEuP
_chemical_formula_sum 'La1 Eu1 P1'
_symmetry_space_group_name_H-M 'P 3 m 1'
_symmetry_Int_Tables_number 156
_cell_length_a 4.1496
_cell_length_b 4.1496
_cell_length_c 7.0179
_cell_angle_alpha 90.00
_cell_angle_beta 90.00
_cell_angle_gamma 120.00
loop_
_symmetry_equiv_pos_as_xyz
'x,y,z'
'-y,x-y,z'
'-x+y,-x,z'
'-y,-x,z'
'-x+y,y,z'
'x,x-y,z'
loop_
_atom_site_label
_atom_site_type_symbol
_atom_site_fract_x
_atom_site_fract_y
_atom_site_fract_z
La1 La 0.0000 0.0000 0.0000
Eu1 Eu 0.6667 0.3333 0.5272
P1 P 0.3333 0.6667 0.7731
```

=====

No. 4
First-principles (PBE) data for a relaxed structure of LaEuP, as listed in Alexandria via LeMat-Bulk.

Summary:
DOS at the Fermi energy = 0.77 states/eV/atom
energy of formation = -0.8766 eV/atom
energy above the most stable polymorph in this dataset = 30 meV/atom

Geometry as CIF:
```
data_LaEuP
_chemical_formula_sum 'La4 Eu4 P4'
_symmetry_space_group_name_H-M 'F -4 3 m'
_symmetry_Int_Tables_number 216
_symmetry_space_group_name_Hall 'F -4 2 3'
_cell_length_a 7.0284
_cell_length_b 7.0284
_cell_length_c 7.0284
_cell_angle_alpha 90.00
_cell_angle_beta 90.00
_cell_angle_gamma 90.00
loop_
_atom_site_label
_atom_site_type_symbol
_atom_site_fract_x
_atom_site_fract_y
_atom_site_fract_z
La1 La 0.0000 0.0000 0.0000
Eu1 Eu 0.0000 0.0000 0.5000
P1 P 0.2500 0.2500 0.7500
```

=====

No. 5
First-principles (PBE) data for a relaxed structure of LaEuPb2, as listed in Alexandria via LeMat-Bulk.

Summary:
DOS at the Fermi energy = 1.29 states/eV/atom
energy of formation = -0.5647 eV/atom
energy above the most stable polymorph in this dataset = 1 meV/atom

Geometry as CIF:
```
data_LaEuPb2
_chemical_formula_sum 'La1 Eu1 Pb2'
_symmetry_space_group_name_H-M 'P 4/m m m'
_symmetry_Int_Tables_number 123
_symmetry_space_group_name_Hall '-P 4 2'
_cell_length_a 5.2315
_cell_length_b 5.2315
_cell_length_c 4.6262
_cell_angle_alpha 90.00
_cell_angle_beta 90.00
_cell_angle_gamma 90.00
loop_
_atom_site_label
_atom_site_type_symbol
_atom_site_fract_x
_atom_site_fract_y
_atom_site_fract_z
La1 La 0.0000 0.0000 0.0000
Eu1 Eu 0.5000 0.5000 0.0000
Pb1 Pb 0.0000 0.5000 0.5000
```

=====

No. 6
First-principles (PBE) data for a relaxed structure of LaEuPb, as listed in Alexandria via LeMat-Bulk.

Summary:
DOS at the Fermi energy = 0.97 states/eV/atom
energy of formation = -0.3796 eV/atom
energy above the most stable polymorph in this dataset = 0 meV/atom

Geometry as CIF:
```
data_LaEuPb
_chemical_formula_sum 'La2 Eu2 Pb2'
_symmetry_space_group_name_H-M 'I 4 m m'
_symmetry_Int_Tables_number 107
_symmetry_space_group_name_Hall 'I 4 -2'
_cell_length_a 4.3609
_cell_length_b 4.3609
_cell_length_c 10.3041
_cell_angle_alpha 90.00
_cell_angle_beta 90.00
_cell_angle_gamma 90.00
loop_
_atom_site_label
_atom_site_type_symbol
_atom_site_fract_x
_atom_site_fract_y
_atom_site_fract_z
La1 La 0.0000 0.0000 0.0000
Eu1 Eu 0.0000 0.0000 0.6928
Pb1 Pb 0.0000 0.0000 0.3481
```

=====

No. 7
First-principles (PBE) data for a relaxed structure of LaEuPb2, as listed in Alexandria via LeMat-Bulk.

Summary:
DOS at the Fermi energy = 2.10 states/eV/atom
energy of formation = -0.5229 eV/atom
energy above the most stable polymorph in this dataset = 43 meV/atom

Geometry as CIF:
```
data_LaEuPb2
_chemical_formula_sum 'La4 Eu4 Pb8'
_symmetry_space_group_name_H-M 'F m -3 m'
_symmetry_Int_Tables_number 225
_symmetry_space_group_name_Hall '-F 4 2 3'
_cell_length_a 8.0212
_cell_length_b 8.0212
_cell_length_c 8.0212
_cell_angle_alpha 90.00
_cell_angle_beta 90.00
_cell_angle_gamma 90.00
loop_
_atom_site_label
_atom_site_type_symbol
_atom_site_fract_x
_atom_site_fract_y
_atom_site_fract_z
La1 La 0.0000 0.0000 0.0000
Eu1 Eu 0.0000 0.0000 0.5000
Pb1 Pb 0.2500 0.2500 0.2500
```

=====

No. 8
First-principles (PBE) data for a relaxed structure of La2EuPb, as listed in Alexandria via LeMat-Bulk.

Summary:
DOS at the Fermi energy = 1.22 states/eV/atom
energy of formation = 0.0918 eV/atom
energy above the most stable polymorph in this dataset = 443 meV/atom

Geometry as CIF:
```
data_La2EuPb
_chemical_formula_sum 'La6 Eu3 Pb3'
_symmetry_space_group_name_H-M 'R -3 m'
_symmetry_Int_Tables_number 166
_symmetry_space_group_name_Hall '-R 3 2"'
_cell_length_a 3.6990
_cell_length_b 3.6990
_cell_length_c 38.2797
_cell_angle_alpha 90.00
_cell_angle_beta 90.00
_cell_angle_gamma 120.00
loop_
_atom_site_label
_atom_site_type_symbol
_atom_site_fract_x
_atom_site_fract_y
_atom_site_fract_z
La1 La 0.0000 0.0000 0.0861
Eu1 Eu 0.0000 0.0000 0.5000
Pb1 Pb 0.0000 0.0000 0.0000
```

=====

No. 9
First-principles (PBE) data for a relaxed structure of LaEu2Pb, as listed in Alexandria via LeMat-Bulk.

Summary:
DOS at the Fermi energy = 1.08 states/eV/atom
energy of formation = 0.0570 eV/atom
energy above the most stable polymorph in this dataset = 398 meV/atom

Geometry as CIF:
```
data_LaEu2Pb
_chemical_formula_sum 'La3 Eu6 Pb3'
_symmetry_space_group_name_H-M 'R -3 m'
_symmetry_Int_Tables_number 166
_symmetry_space_group_name_Hall '-R 3 2"'
_cell_length_a 3.7024
_cell_length_b 3.7024
_cell_length_c 38.8827
_cell_angle_alpha 90.00
_cell_angle_beta 90.00
_cell_angle_gamma 120.00
loop_
_atom_site_label
_atom_site_type_symbol
_atom_site_fract_x
_atom_site_fract_y
_atom_site_fract_z
La1 La 0.0000 0.0000 0.0000
Eu1 Eu 0.0000 0.0000 0.4143
Pb1 Pb 0.0000 0.0000 0.5000
```

=====

No. 10
First-principles (PBE) data for a relaxed structure of LaEuPb2, as listed in Alexandria via LeMat-Bulk.

Summary:
DOS at the Fermi energy = 0.60 states/eV/atom
energy of formation = -0.5659 eV/atom
energy above the most stable polymorph in this dataset = 0 meV/atom

Geometry as CIF:
```
data_LaEuPb2
_chemical_formula_sum 'La1 Eu1 Pb2'
_symmetry_space_group_name_H-M 'P 4/m m m'
_symmetry_Int_Tables_number 123
_symmetry_space_group_name_Hall '-P 4 2'
_cell_length_a 3.6748
_cell_length_b 3.6748
_cell_length_c 9.3620
_cell_angle_alpha 90.00
_cell_angle_beta 90.00
_cell_angle_gamma 90.00
loop_
_atom_site_label
_atom_site_type_symbol
_atom_site_fract_x
_atom_site_fract_y
_atom_site_fract_z
La1 La 0.0000 0.0000 0.0000
Eu1 Eu 0.0000 0.0000 0.5000
Pb1 Pb 0.5000 0.5000 0.2509
```

=====

No. 11
First-principles (PBE) data for a relaxed structure of LaEuPb, as listed in Alexandria via LeMat-Bulk.

Summary:
DOS at the Fermi energy = 1.09 states/eV/atom
energy of formation = -0.2116 eV/atom
energy above the most stable polymorph in this dataset = 168 meV/atom

Geometry as CIF:
```
data_LaEuPb
_chemical_formula_sum 'La1 Eu1 Pb1'
_symmetry_space_group_name_H-M 'P 3 m 1'
_symmetry_Int_Tables_number 156
_cell_length_a 5.5488
_cell_length_b 5.5488
_cell_length_c 3.4942
_cell_angle_alpha 90.00
_cell_angle_beta 90.00
_cell_angle_gamma 120.00
loop_
_symmetry_equiv_pos_as_xyz
'x,y,z'
'-y,x-y,z'
'-x+y,-x,z'
'-y,-x,z'
'-x+y,y,z'
'x,x-y,z'
loop_
_atom_site_label
_atom_site_type_symbol
_atom_site_fract_x
_atom_site_fract_y
_atom_site_fract_z
La1 La 0.0000 0.0000 0.0000
Eu1 Eu 0.6667 0.3333 0.0009
Pb1 Pb 0.3333 0.6667 0.4991
```

=====

No. 12
First-principles (PBE) data for a relaxed structure of La2EuPb, as listed in Alexandria via LeMat-Bulk.

Summary:
DOS at the Fermi energy = 1.19 states/eV/atom
energy of formation = -0.3511 eV/atom
energy above the most stable polymorph in this dataset = 0 meV/atom

Geometry as CIF:
```
data_La2EuPb
_chemical_formula_sum 'La2 Eu1 Pb1'
_symmetry_space_group_name_H-M 'P 4/m m m'
_symmetry_Int_Tables_number 123
_symmetry_space_group_name_Hall '-P 4 2'
_cell_length_a 5.1112
_cell_length_b 5.1112
_cell_length_c 5.0478
_cell_angle_alpha 90.00
_cell_angle_beta 90.00
_cell_angle_gamma 90.00
loop_
_atom_site_label
_atom_site_type_symbol
_atom_site_fract_x
_atom_site_fract_y
_atom_site_fract_z
La1 La 0.0000 0.5000 0.0000
Eu1 Eu 0.0000 0.0000 0.5000
Pb1 Pb 0.5000 0.5000 0.5000
```